Entry 1:
DFT (GGA-PBE) results for crystalline EuGe2Rh2 at its relaxed geometry.

Calculated values
SG	I4/mmm, No. 139
ΔH_f (0 K)	-0.83	eV/atom
energy	-7.68	eV per atom
M_tot	6.97	μB per formula unit

Lattice parameters (Å, degrees): 6.0957 6.0957 6.0957 139.77 139.77 58.21
Closest atoms and distances in Å follow each position.
Fractional coordinates of all 5 atoms:
Ge 0.3725 0.3725 0.0000  4 Rh 2.47, 1 Ge 2.72
Eu 0.0000 0.0000 0.0000  8 Ge 3.26, 8 Rh 3.39
Ge 0.6275 0.6275 0.0000  4 Rh 2.47, 1 Ge 2.72
Rh 0.7500 0.2500 0.5000  4 Ge 2.47
Rh 0.2500 0.7500 0.5000  4 Ge 2.47

=====

Entry 2:
DFT (GGA-PBE) results for crystalline GeTeH3 at its relaxed geometry.

Calculated values
SG	Pm-3m, No. 221
energy	-2.70	eV per atom
M_tot	0.00	μB per formula unit
polymorph energy (0 for the lowest one)	782	meV per atom

Lattice parameters (Å, degrees): 4.0379 4.0379 4.0379 90.00 90.00 90.00
Closest atoms and distances in Å follow each position.
Fractional coordinates of all 5 atoms:
Te 0.0000 0.0000 0.0000  6 H 2.02
H 0.0000 0.0000 0.5000  2 Te 2.02
H 0.0000 0.5000 0.0000  2 Te 2.02
H 0.5000 0.0000 0.0000  2 Te 2.02
Ge 0.5000 0.5000 0.5000  12 H 2.86

=====

Entry 3:
DFT (GGA-PBE) results for crystalline CuRhBr2 at its relaxed geometry.

Calculated values
SG	P4/mmm, No. 123
energy	-3.24	eV per atom
M_tot	0.00	μB per formula unit
polymorph energy (0 for the lowest one)	473	meV per atom

Lattice parameters (Å, degrees): 4.6717 4.6717 3.3024 90.00 90.00 90.00
Closest atoms and distances in Å follow each position.
Fractional coordinates of all 4 atoms:
Br 0.0000 0.0000 0.0000  4 Rh 2.86, 4 Cu 2.86
Cu 0.5000 0.0000 0.5000  8 Br 2.86
Rh 0.0000 0.5000 0.5000  8 Br 2.86
Br 0.5000 0.5000 0.0000  4 Cu 2.86, 4 Rh 2.86

=====

Entry 4:
DFT (GGA-PBE) results for crystalline BeNb4Ni at its relaxed geometry.

Calculated values
SG	I422, No. 97
ΔH_f (0 K)	-0.14	eV/atom
energy	-8.44	eV per atom
M_tot	0.00	μB per formula unit

Lattice parameters (Å, degrees): 5.0105 5.0105 5.0105 103.16 103.16 123.00
Closest atoms and distances in Å follow each position.
Fractional coordinates of all 6 atoms:
Nb 0.5908 0.0908 0.1817  2 Be 2.63, 2 Ni 2.63, 3 Nb 2.80-2.88
Be 0.0000 0.0000 0.0000  2 Ni 2.39, 8 Nb 2.63
Nb 0.9092 0.4092 0.8183  2 Ni 2.63, 2 Be 2.63, 3 Nb 2.80-2.88
Ni 0.5000 0.5000 0.0000  2 Be 2.39, 8 Nb 2.63
Nb 0.0908 0.9092 0.5000  2 Be 2.63, 2 Ni 2.63, 3 Nb 2.80-2.88
Nb 0.4092 0.5908 0.5000  2 Ni 2.63, 2 Be 2.63, 3 Nb 2.80-2.88